The following is a DFT calculation (PBE) of a relaxed structure of CdCuReHg2.

## Properties
Calculated volume in Å³/atom: 28.368
ΔE_f in eV per atom: 1.6584
DOS(E_F) in states/eV/f.u.: 2.79
Symmetry: P4/mmm, No. 123

```
5
Lattice="5.402 0.000 0.000 0.000 4.860 0.000 0.000 0.000 5.402" Properties=species:S:1:pos:R:3 pbc="T T T"
Re 2.701 2.430 2.701
Hg 0.000 0.000 2.701
Hg 2.701 0.000 0.000
Cu 0.000 2.430 0.000
Cd 0.000 0.000 0.000
```

The following is a DFT calculation (PBE) of a relaxed structure of TcAs2.

## Properties
Calculated volume in Å³/atom: 16.310
Offset from the most stable computed form in meV/atom: 365.6
ΔE_f in eV per atom: 0.1743
DOS(E_F) in states/eV/f.u.: 2.65
Symmetry: Fmmm, No. 69

```
3
Lattice="-0.854 -0.790 -4.693 3.690 -0.200 -3.117 -1.235 -1.883 4.273" Properties=species:S:1:pos:R:3 pbc="T T T"
As 0.963 -0.336 -2.651
As 1.874 -0.654 -5.159
Tc 0.000 0.000 0.000
```

The following is a DFT calculation (PBE) of a relaxed structure of PrTmThMg.

## Properties
Calculated volume in Å³/atom: 30.482
Offset from the most stable computed form in meV/atom: 125.1
ΔE_f in eV per atom: 0.0887
DOS(E_F) in states/eV/f.u.: 6.61
Symmetry: F-43m, No. 216

```
4
Lattice="5.566 0.000 0.000 2.783 4.820 0.000 2.783 1.607 4.545" Properties=species:S:1:pos:R:3 pbc="T T T"
Pr 0.000 0.000 0.000
Mg 8.349 4.820 3.408
Tm 2.783 1.607 1.136
Th 5.566 3.214 2.272
```

The following is a DFT calculation (PBE) of a relaxed structure of Y2Ga3Ag.

## Properties
Calculated volume in Å³/atom: 21.132
Offset from the most stable computed form in meV/atom: 0.0
ΔE_f in eV per atom: -0.5901
DOS(E_F) in states/eV/f.u.: 3.42
Symmetry: Fmmm, No. 69

```
12
Lattice="-4.541 3.260 1.450 -0.707 -4.543 3.494 6.887 4.160 2.966" Properties=species:S:1:pos:R:3 pbc="T T T"
Y 1.778 -0.512 4.466
Y -3.910 -0.956 3.684
Y -0.139 3.390 3.444
Y -1.338 -0.327 1.260
Ga -0.951 -2.036 3.886
Ga 4.530 0.964 5.059
Ga 2.590 4.914 4.024
Ga -2.891 1.914 2.851
Ga 1.398 1.154 1.783
Ga 0.241 1.724 6.127
Ag -1.191 0.541 4.299
Ag 2.831 2.337 3.611
```

The following is a DFT calculation (PBE) of a relaxed structure of Sr2SeS.

## Properties
Calculated volume in Å³/atom: 29.758
Offset from the most stable computed form in meV/atom: 84.5
DOS(E_F) in states/eV/f.u.: 0.00
Uncorrected formation energy in eV/atom: -2.02
Symmetry: R3m, No. 160

```
4
Lattice="4.290 0.000 0.000 2.145 3.716 0.000 2.145 1.239 7.467" Properties=species:S:1:pos:R:3 pbc="T T T"
Sr 2.145 1.239 5.688
Sr 2.145 1.239 1.778
Se 4.290 2.477 3.761
S 6.435 3.716 7.440
```

The following is a DFT calculation (PBE) of a relaxed structure of K2InCl.

## Properties
Calculated volume in Å³/atom: 33.164
Offset from the most stable computed form in meV/atom: 0.0
DOS(E_F) in states/eV/f.u.: 1.87
Uncorrected formation energy in eV/atom: -0.88
Symmetry: Cmmm, No. 65

```
4
Lattice="-0.770 3.581 -0.716 -1.022 -1.048 -3.433 -8.929 -1.309 3.058" Properties=species:S:1:pos:R:3 pbc="T T T"
K -0.444 -0.065 0.152
K -4.020 -0.589 1.377
Cl -3.128 0.939 -1.310
In -7.593 0.285 0.219
```

The following is a DFT calculation (PBE) of a relaxed structure of HfS2I.

## Properties
Calculated volume in Å³/atom: 31.160
Offset from the most stable computed form in meV/atom: 0.0
DOS(E_F) in states/eV/f.u.: 0.79
Uncorrected formation energy in eV/atom: -1.09
Symmetry: C2/m, No. 12

```
4
Lattice="3.587 0.000 0.000 -1.793 3.095 -0.241 0.000 -1.104 11.314" Properties=species:S:1:pos:R:3 pbc="T T T"
Hf 1.793 0.000 0.000
S 0.000 1.145 1.388
S 1.793 0.846 9.685
I 0.000 -0.552 5.657
```

The following is a DFT calculation (PBE) of a relaxed structure of ZrHgPb2.

## Properties
Calculated volume in Å³/atom: 26.700
ΔE_f in eV per atom: 0.0488
DOS(E_F) in states/eV/f.u.: 2.13
Symmetry: R-3m, No. 166

```
4
Lattice="10.476 -0.009 -0.006 9.906 3.406 -0.006 9.906 1.651 2.980" Properties=species:S:1:pos:R:3 pbc="T T T"
Hg 22.716 3.786 2.226
Pb 30.222 5.037 2.962
Pb 15.209 2.535 1.491
Zr 7.572 1.262 0.742
```

The following is a DFT calculation (PBE) of a relaxed structure of SrPr2PuO8.

## Properties
Calculated volume in Å³/atom: 14.981
DOS(E_F) in states/eV/f.u.: 2.54
Uncorrected formation energy in eV/atom: -2.71
Symmetry: P2/m, No. 10

```
12
Lattice="4.235 -0.281 -0.002 -0.279 5.476 -0.006 0.004 0.008 7.777" Properties=species:S:1:pos:R:3 pbc="T T T"
Sr 0.002 0.004 3.889
Pr 1.981 2.604 5.849
Pr 1.979 2.600 1.921
Pu 0.000 0.000 0.000
O 0.006 4.180 1.554
O 2.244 4.158 7.772
O 3.952 1.018 1.556
O 3.955 1.023 6.216
O 1.717 1.046 -0.002
O 0.008 4.186 6.214
O 1.870 3.890 3.884
O 2.090 1.314 3.886
```

The following is a DFT calculation (PBE) of a relaxed structure of Ce6InRu.

## Properties
Calculated volume in Å³/atom: 27.961
ΔE_f in eV per atom: -0.0901
DOS(E_F) in states/eV/f.u.: 24.17
Symmetry: C2/m, No. 12

```
8
Lattice="6.154 0.552 -0.144 -1.778 5.918 -0.144 -0.963 -1.423 6.044" Properties=species:S:1:pos:R:3 pbc="T T T"
Ce 0.236 0.349 3.557
Ce 3.107 1.065 1.063
Ce 3.177 4.697 2.199
Ce 3.582 1.765 4.694
Ce 0.306 3.981 4.694
Ce -0.168 3.280 1.063
In 0.000 0.000 0.000
Ru 1.707 2.523 2.878
```